PBE with a Hubbard U BaCoF2, relaxed; calculated density = 3.97 g cm⁻³; E = -4.599 eV per atom; M_tot = 0.555 μB/atom
1.0
2.480 0.000 6.125
-1.240 2.148 6.125
-1.240 -2.148 6.125
F Co Ba
2 1 1
direct
0.117 0.117 0.117
0.883 0.883 0.883
0.000 0.000 0.000
0.500 0.500 0.500